Computed, not measured: a geometry-optimized VCl3O structure at the PBE+U level of DFT.

Values from the calculation:
The calculated volume is 647.5 Å³/cell. The total magnetization is 0.00 μB/f.u. Its total energy is -4.700 eV/atom.

The structure in POSCAR format:
```
VCl3O
1.0
5.289 0.000 0.000
0.000 10.106 0.000
0.000 0.000 12.115
V Cl O
4 12 4
Direct
0.138 0.250 0.045
0.362 0.750 0.545
0.638 0.250 0.455
0.862 0.750 0.955
0.231 0.574 0.628
0.231 0.926 0.628
0.247 0.750 0.374
0.253 0.250 0.874
0.269 0.074 0.128
0.269 0.426 0.128
0.731 0.574 0.872
0.731 0.926 0.872
0.747 0.750 0.126
0.753 0.250 0.626
0.769 0.074 0.372
0.769 0.426 0.372
0.164 0.750 0.951
0.336 0.250 0.451
0.664 0.750 0.549
0.836 0.250 0.049
```